# V3P2W | Alexandria via LeMat-Bulk | PBE-GGA | relaxed
data_V3P2W
_chemical_formula_sum 'V12 P8 W4'
_symmetry_space_group_name_H-M 'I b a m'
_symmetry_Int_Tables_number 72
_symmetry_space_group_name_Hall '-I 2 2c'
_cell_length_a 5.037
_cell_length_b 10.870
_cell_length_c 6.204
_cell_angle_alpha 90.00
_cell_angle_beta 90.00
_cell_angle_gamma 90.00
loop_
_atom_site_label
_atom_site_type_symbol
_atom_site_fract_x
_atom_site_fract_y
_atom_site_fract_z
_atom_site_occupancy
V1 V 0.000 0.000 0.250 1
V2 V 0.000 0.308 0.250 1
P1 P 0.140 0.157 0.000 1
W1 W 0.000 0.500 0.000 1
# * calculated formation energy: -430 meV/atom
# * V: 14.15 Å³/atom